[1]
Pr2Ga2ICl after structural relaxation. Source: OQMD via LeMat-Bulk, functional PBE-GGA.

Results
**DFT total energy**: -4.411 eV/atom

Structure (CIF):
```
data_Pr2Ga2ICl
_chemical_formula_sum 'Pr2 Ga2 I1 Cl1'
_symmetry_space_group_name_H-M 'P 1'
_symmetry_Int_Tables_number 1
_symmetry_space_group_name_Hall 'P 1'
_cell_length_a 4.273
_cell_length_b 4.273
_cell_length_c 11.364
_cell_angle_alpha 90.00
_cell_angle_beta 90.00
_cell_angle_gamma 120.00
loop_
_atom_site_label
_atom_site_type_symbol
_atom_site_fract_x
_atom_site_fract_y
_atom_site_fract_z
Pr1 Pr 0.000 0.000 0.000
Pr2 Pr 0.000 0.000 0.377
Ga1 Ga 0.333 0.667 0.214
Ga2 Ga 0.667 0.333 0.160
I1 I 0.333 0.667 0.816
Cl1 Cl 0.667 0.333 0.517
```

---

[2]
Pr3GaICl2 after structural relaxation. Source: OQMD via LeMat-Bulk, functional PBE-GGA.

Results
**DFT total energy**: -4.568 eV/atom

Structure (CIF):
```
data_Pr3GaICl2
_chemical_formula_sum 'Pr3 Ga1 I1 Cl2'
_symmetry_space_group_name_H-M 'P 1'
_symmetry_Int_Tables_number 1
_symmetry_space_group_name_Hall 'P 1'
_cell_length_a 6.113
_cell_length_b 6.113
_cell_length_c 5.862
_cell_angle_alpha 90.00
_cell_angle_beta 90.00
_cell_angle_gamma 90.00
loop_
_atom_site_label
_atom_site_type_symbol
_atom_site_fract_x
_atom_site_fract_y
_atom_site_fract_z
Pr1 Pr 0.000 0.000 0.000
Pr2 Pr 0.000 0.500 0.500
Pr3 Pr 0.500 0.000 0.500
Ga1 Ga 0.000 0.000 0.500
I1 I 0.500 0.500 0.500
Cl1 Cl 0.000 0.500 0.000
Cl2 Cl 0.500 0.000 0.000
```

---

[3]
Ga2PtI2Cl6 after structural relaxation. Source: OQMD via LeMat-Bulk, functional PBE-GGA.

Results
**ΔE to the lowest computed polymorph**: 0.000 eV per atom
**DFT total energy**: -3.143 eV/atom

Structure (CIF):
```
data_Ga2PtI2Cl6
_chemical_formula_sum 'Ga2 Pt1 I2 Cl6'
_symmetry_space_group_name_H-M 'P 1'
_symmetry_Int_Tables_number 1
_symmetry_space_group_name_Hall 'P 1'
_cell_length_a 7.559
_cell_length_b 7.559
_cell_length_c 7.688
_cell_angle_alpha 97.84
_cell_angle_beta 97.84
_cell_angle_gamma 68.20
loop_
_atom_site_label
_atom_site_type_symbol
_atom_site_fract_x
_atom_site_fract_y
_atom_site_fract_z
Ga1 Ga 0.217 0.217 0.326
Ga2 Ga 0.783 0.783 0.674
Pt1 Pt 0.000 0.000 0.000
I1 I 0.178 0.178 0.636
I2 I 0.822 0.822 0.364
Cl1 Cl 0.075 0.697 0.849
Cl2 Cl 0.303 0.925 0.151
Cl3 Cl 0.381 0.381 0.281
Cl4 Cl 0.619 0.619 0.719
Cl5 Cl 0.697 0.075 0.849
Cl6 Cl 0.925 0.303 0.151
```

---

[4]
Ga2PtI6Cl2 after structural relaxation. Source: OQMD via LeMat-Bulk, functional PBE-GGA.

Results
**ΔE to the lowest computed polymorph**: 0.000 eV per atom
**DFT total energy**: -2.825 eV/atom

Structure (CIF):
```
data_Ga2PtI6Cl2
_chemical_formula_sum 'Ga2 Pt1 I6 Cl2'
_symmetry_space_group_name_H-M 'P 1'
_symmetry_Int_Tables_number 1
_symmetry_space_group_name_Hall 'P 1'
_cell_length_a 8.091
_cell_length_b 8.091
_cell_length_c 8.060
_cell_angle_alpha 94.72
_cell_angle_beta 94.72
_cell_angle_gamma 69.23
loop_
_atom_site_label
_atom_site_type_symbol
_atom_site_fract_x
_atom_site_fract_y
_atom_site_fract_z
Ga1 Ga 0.221 0.221 0.334
Ga2 Ga 0.779 0.779 0.666
Pt1 Pt 0.000 0.000 0.000
I1 I 0.086 0.683 0.848
I2 I 0.183 0.183 0.635
I3 I 0.317 0.914 0.152
I4 I 0.683 0.086 0.848
I5 I 0.817 0.817 0.365
I6 I 0.914 0.317 0.152
Cl1 Cl 0.378 0.378 0.291
Cl2 Cl 0.622 0.622 0.709
```

---

[5]
Ga3IrCl after structural relaxation. Source: OQMD via LeMat-Bulk, functional PBE-GGA.

Results
**DFT total energy**: -4.479 eV/atom

Structure (CIF):
```
data_Ga3IrCl
_chemical_formula_sum 'Ga6 Ir2 Cl2'
_symmetry_space_group_name_H-M 'P 1'
_symmetry_Int_Tables_number 1
_symmetry_space_group_name_Hall 'P 1'
_cell_length_a 6.851
_cell_length_b 6.851
_cell_length_c 4.865
_cell_angle_alpha 90.00
_cell_angle_beta 90.00
_cell_angle_gamma 90.23
loop_
_atom_site_label
_atom_site_type_symbol
_atom_site_fract_x
_atom_site_fract_y
_atom_site_fract_z
Ga1 Ga 0.000 0.000 0.000
Ga2 Ga 0.000 0.500 0.000
Ga3 Ga 0.231 0.769 0.500
Ga4 Ga 0.500 0.000 0.000
Ga5 Ga 0.500 0.500 0.000
Ga6 Ga 0.769 0.231 0.500
Ir1 Ir 0.253 0.747 0.000
Ir2 Ir 0.747 0.253 0.000
Cl1 Cl 0.203 0.203 0.500
Cl2 Cl 0.797 0.797 0.500
```

---

[6]
LaNdGa2Cl2 after structural relaxation. Source: OQMD via LeMat-Bulk, functional PBE-GGA.

Results
**DFT total energy**: -4.682 eV/atom

Structure (CIF):
```
data_LaNdGa2Cl2
_chemical_formula_sum 'La1 Nd1 Ga2 Cl2'
_symmetry_space_group_name_H-M 'P 1'
_symmetry_Int_Tables_number 1
_symmetry_space_group_name_Hall 'P 1'
_cell_length_a 4.239
_cell_length_b 4.239
_cell_length_c 11.010
_cell_angle_alpha 90.00
_cell_angle_beta 90.00
_cell_angle_gamma 120.00
loop_
_atom_site_label
_atom_site_type_symbol
_atom_site_fract_x
_atom_site_fract_y
_atom_site_fract_z
La1 La 0.000 0.000 0.000
Nd1 Nd 0.000 0.000 0.608
Ga1 Ga 0.333 0.667 0.773
Ga2 Ga 0.667 0.333 0.831
Cl1 Cl 0.333 0.667 0.148
Cl2 Cl 0.667 0.333 0.463
```

---

Please write out number 2 again, unchanged.
Pr3GaICl2 after structural relaxation. Source: OQMD via LeMat-Bulk, functional PBE-GGA.

Results
**DFT total energy**: -4.568 eV/atom

Structure (CIF):
```
data_Pr3GaICl2
_chemical_formula_sum 'Pr3 Ga1 I1 Cl2'
_symmetry_space_group_name_H-M 'P 1'
_symmetry_Int_Tables_number 1
_symmetry_space_group_name_Hall 'P 1'
_cell_length_a 6.113
_cell_length_b 6.113
_cell_length_c 5.862
_cell_angle_alpha 90.00
_cell_angle_beta 90.00
_cell_angle_gamma 90.00
loop_
_atom_site_label
_atom_site_type_symbol
_atom_site_fract_x
_atom_site_fract_y
_atom_site_fract_z
Pr1 Pr 0.000 0.000 0.000
Pr2 Pr 0.000 0.500 0.500
Pr3 Pr 0.500 0.000 0.500
Ga1 Ga 0.000 0.000 0.500
I1 I 0.500 0.500 0.500
Cl1 Cl 0.000 0.500 0.000
Cl2 Cl 0.500 0.000 0.000
```